Below is MgFeIO2 after structural relaxation, with properties calculated at the PBE+U level.

Results
Excess energy over the best structure of this formula in the dataset (eV/atom): 0.103
E_tot (eV/atom): -4.153

Cell: 3.9876 3.9876 5.7791 Å, 90.00 90.00 90.00°
Closest atoms and distances in Å follow each position.
Space group P4/mmm (No. 123)
Inequivalent atoms, fractional coordinates:
Mg 0.0000 0.0000 0.0000  4 O 1.99
Fe 0.5000 0.5000 0.5000  4 I 2.82
I 0.0000 0.0000 0.5000  4 Fe 2.82, 2 Mg 2.89
O 0.0000 0.5000 0.0000  2 Mg 1.99